DFT (GGA-PBE) results for a geometry-optimized CuGeAu2 structure.

a b c (Å): 4.1925 4.1925 3.8038
angles (deg): 90.00 90.00 90.00
Last column: nearest neighbours and their distance in Å.
Sites, in units of the cell vectors:
Cu 0.0000 0.0000 0.0000  8 Au 2.83, 4 Ge 2.96
Ge 0.5000 0.5000 0.0000  8 Au 2.83, 4 Cu 2.96
Au 0.0000 0.5000 0.5000  4 Ge 2.83, 4 Cu 2.83, 4 Au 2.96
Au 0.5000 0.0000 0.5000  4 Ge 2.83, 4 Cu 2.83, 4 Au 2.96

Space-group type   P4/mmm
Energy relative to the elements   79 meV/atom